Density functional theory data (GGA-PBE) for an optimized crystal structure of TbSnAu4.

a = 5.205 Å, b = 7.513 Å, c = 8.261 Å
α = 90.00°, β = 118.73°, γ = 90.00°
Fractional positions:
Au 0.703 0.939 0.434
Au 0.297 0.061 0.566
Au 0.703 0.561 0.434
Au 0.000 0.000 0.000
Au 0.297 0.439 0.566
Au 0.451 0.750 0.080
Au 0.549 0.250 0.920
Au 0.000 0.500 0.000
Sn 0.461 0.250 0.221
Sn 0.539 0.750 0.779
Tb 0.102 0.750 0.310
Tb 0.898 0.250 0.690

Output
E_form in eV per atom: -0.38
Distance to the lowest polymorph of the same formula in eV/atom: 0.1071
Space group: No. 11
Total moment in μB per formula unit: 0.000
Crystal system: monoclinic